# 1
This record from OQMD describes crystalline ScSn2Os at its relaxed geometry. The functional is PBE.

Computed properties:
Raw total energy ... -6.27 eV per atom
Symmetry ... F-43m (216)

a b c (Å): 4.847 4.847 4.847
angles (deg): 60.00 60.00 60.00
Fractional coordinates of all 4 atoms:
1 Os 0.250 0.250 0.250
2 Sc 0.000 0.000 0.000
3 Sn 0.500 0.500 0.500
4 Sn 0.750 0.750 0.750

# 2
This record from OQMD describes crystalline BiPtNO at its relaxed geometry. The functional is PBE.

Computed properties:
Energy above the lowest structure with this stoichiometry ... 0.65 eV per formula unit
Symmetry ... Pmc2_1 (26)

a b c (Å): 4.349 4.979 7.182
angles (deg): 90.00 90.00 90.00
Fractional coordinates of all 8 atoms:
1 Bi 0.500 0.957 0.181
2 Bi 0.500 0.457 0.819
3 N 0.000 0.859 0.290
4 N 0.000 0.359 0.710
5 O 0.500 0.377 0.110
6 O 0.500 0.877 0.890
7 Pt 0.000 0.562 0.461
8 Pt 0.000 0.062 0.539

# 3
This record from OQMD describes crystalline Y2TaHg at its relaxed geometry. The functional is PBE.

Computed properties:
Formation energy ... 0.3697 eV/atom
Symmetry ... F-43m (216)

a b c (Å): 5.099 5.099 5.099
angles (deg): 60.00 60.00 60.00
Each line ends with the local moment (μB).
Fractional coordinates of all 4 atoms:
1 Hg 0.500 0.500 0.500  0.00
2 Ta 0.750 0.750 0.750  0.20
3 Y 0.000 0.000 0.000  0.10
4 Y 0.250 0.250 0.250  0.01

# 4
This record from OQMD describes crystalline Y2HoIn3Ni3 at its relaxed geometry. The functional is PBE.

Computed properties:
Raw total energy ... -5.23 eV per atom
Symmetry ... Amm2 (38)

a b c (Å): 3.788 7.436 7.436
angles (deg): 119.78 90.00 90.00
Fractional coordinates of all 9 atoms:
1 Ho 0.000 0.411 0.411
2 In 0.500 0.254 0.000
3 In 0.500 0.000 0.254
4 In 0.500 0.746 0.746
5 Ni 0.000 0.001 0.001
6 Ni 0.500 0.665 0.334
7 Ni 0.500 0.334 0.665
8 Y 0.000 0.589 0.000
9 Y 0.000 0.000 0.589

# 5
This record from OQMD describes crystalline CdInGaTeSe3 at its relaxed geometry. The functional is PBE.

Computed properties:
Raw total energy ... -3.44 eV per atom
Symmetry ... P1 (1)

a b c (Å): 6.082 6.115 7.050
angles (deg): 114.14 114.39 91.32
Fractional coordinates of all 7 atoms:
1 Cd 0.239 0.753 0.495
2 Ga 0.012 0.012 0.007
3 In 0.753 0.240 0.496
4 Se 0.858 0.352 0.214
5 Se 0.361 0.866 0.214
6 Se 0.142 0.147 0.778
7 Te 0.635 0.630 0.797

# 6
This record from OQMD describes crystalline NbPdPt at its relaxed geometry. The functional is PBE.

Computed properties:
Energy above the lowest structure with this stoichiometry ... 0.09 eV per formula unit
Formation energy ... -0.5760 eV/atom
Symmetry ... Pmmm (47)

a b c (Å): 2.835 3.981 8.498
angles (deg): 90.00 90.00 90.00
Fractional coordinates of all 6 atoms:
1 Nb 0.000 0.000 0.000
2 Nb 0.500 0.500 0.500
3 Pd 0.000 0.000 0.336
4 Pd 0.000 0.000 0.664
5 Pt 0.500 0.500 0.167
6 Pt 0.500 0.500 0.833

# 7
This record from OQMD describes crystalline CsThHg at its relaxed geometry. The functional is PBE.

Computed properties:
Raw total energy ... -1.68 eV per atom
Symmetry ... F-43m (216)

a b c (Å): 5.325 5.325 5.325
angles (deg): 60.00 60.00 60.00
Fractional coordinates of all 3 atoms:
1 Cs 0.000 0.000 0.000
2 Hg 0.250 0.250 0.250
3 Th 0.750 0.750 0.750